No. 1
Below is a crystal of LaNiMo2 relaxed with PBEsol, with properties calculated at the meta-GGA SCAN level.

It has space group Pmmm (No. 47), with a = 2.779 Å, b = 3.451 Å, c = 7.410 Å, α = 90.00°, β = 90.00° and γ = 90.00°. The distinct sites, in fractional coordinates, are La at (0.000, 0.000, 0.000), Ni at (0.000, 0.000, 0.500) and Mo at (0.500, 0.500, 0.328).

The total energy comes out at -31.74 eV per atom. The calculation puts the mass density at 9.1 Mg/m³. The magnetic moment comes out at 0.00 μB per cell. As for the formation energy: 2.08 eV/f.u. The calculation puts the volume at 17.76 A^3/atom.

***

No. 2
Below is a crystal of AlCdMo relaxed with PBEsol, with properties calculated at the meta-GGA SCAN level.

It has space group Fmm2 (No. 42), with a = 3.429 Å, b = 4.364 Å, c = 13.444 Å, α = 90.00°, β = 90.00° and γ = 90.00°. The distinct sites, in fractional coordinates, are Al at (0.000, 0.000, 0.000), Cd at (0.000, 0.000, 0.679) and Mo at (0.000, 0.000, 0.353).

The total energy comes out at -24.17 eV per atom. The calculation puts the mass density at 7.8 Mg/m³. The magnetic moment comes out at 0.00 μB per cell. As for the formation energy: 0.53 eV/f.u. The calculation puts the volume at 16.76 A^3/atom.

***

No. 3
Below is a crystal of CaZr2Pt2 relaxed with PBEsol, with properties calculated at the meta-GGA SCAN level.

It has space group I4/mmm (No. 139), with a = 4.891 Å, b = 4.891 Å, c = 9.982 Å, α = 90.00°, β = 90.00° and γ = 90.00°. The distinct sites, in fractional coordinates, are Ca at (0.000, 0.000, 0.000), Zr at (0.000, 0.000, 0.349) and Pt at (0.000, 0.500, 0.250).

The total energy comes out at -42.94 eV per atom. The calculation puts the mass density at 8.5 Mg/m³. The magnetic moment comes out at 2.53 μB per cell. As for the formation energy: -3.26 eV/f.u. The calculation puts the volume at 23.88 A^3/atom.

***

No. 4
Below is a crystal of Sr2AsF relaxed with PBEsol, with properties calculated at the meta-GGA SCAN level.

It has space group Fm-3m (No. 225), with a = 7.230 Å, b = 7.230 Å, c = 7.230 Å, α = 90.00°, β = 90.00° and γ = 90.00°. The distinct sites, in fractional coordinates, are Sr at (0.250, 0.250, 0.250), As at (0.000, 0.000, 0.000) and F at (0.000, 0.000, 0.500).

The total energy comes out at -19.14 eV per atom. The calculation puts the mass density at 4.7 Mg/m³. The magnetic moment comes out at 0.00 μB per cell. As for the uncorrected formation energy: -8.30 eV per formula unit. The calculation puts the volume at 23.62 A^3/atom.

***

No. 5
Below is a crystal of Si2PW relaxed with PBEsol, with properties calculated at the meta-GGA SCAN level.

It has space group Cm (No. 8), with a = 8.425 Å, b = 3.025 Å, c = 4.361 Å, α = 90.00°, β = 93.96° and γ = 90.00°. The distinct sites, in fractional coordinates, are Si at (0.000, 0.000, 0.000), Si at (0.240, 0.000, 0.756), P at (0.463, 0.000, 0.465) and W at (0.239, 0.500, 0.255).

The total energy comes out at -24.76 eV per atom. The calculation puts the mass density at 8.1 Mg/m³. The magnetic moment comes out at 0.00 μB per cell. As for the uncorrected formation energy: 1.07 eV per formula unit. The calculation puts the volume at 13.86 A^3/atom.

***

No. 6
Below is a crystal of Nd2In relaxed with PBEsol, with properties calculated at the meta-GGA SCAN level.

It has space group P6_3/mmc (No. 194), with a = 5.4621 Å, b = 5.4621 Å, c = 6.8119 Å, α = 90.00°, β = 90.00° and γ = 120.00°. The distinct sites, in fractional coordinates, are Nd at (0.0000, 0.0000, 0.0000), Nd at (0.3333, 0.6667, 0.2500) and In at (0.3333, 0.6667, 0.7500).

The total energy comes out at -40.69 eV per atom. The calculation puts the mass density at 7.6 Mg/m³. The magnetic moment comes out at 1.93 μB per cell. As for the formation energy: -1.51 eV/f.u. The calculation puts the volume at 29.33 A^3/atom.

***

No. 7
Below is a crystal of InSi2Au relaxed with PBEsol, with properties calculated at the meta-GGA SCAN level.

It has space group I4/mmm (No. 139), with a = 4.183 Å, b = 4.183 Å, c = 8.253 Å, α = 90.00°, β = 90.00° and γ = 90.00°. The distinct sites, in fractional coordinates, are In at (0.000, 0.000, 0.000), Si at (0.000, 0.500, 0.250) and Au at (0.000, 0.000, 0.500).

The total energy comes out at -30.13 eV per atom. The calculation puts the mass density at 8.5 Mg/m³. The magnetic moment comes out at 0.00 μB per cell. As for the uncorrected formation energy: 2.05 eV per formula unit. The calculation puts the volume at 18.05 A^3/atom.

***

No. 8
Below is a crystal of Ba2ScTc relaxed with PBEsol, with properties calculated at the meta-GGA SCAN level.

It has space group Pm (No. 6), with a = 3.636 Å, b = 3.792 Å, c = 9.373 Å, α = 90.00°, β = 97.41° and γ = 90.00°. The distinct sites, in fractional coordinates, are Ba at (0.000, 0.000, 0.000), Ba at (0.417, 0.500, 0.599), Sc at (0.591, 0.500, 0.264) and Tc at (0.097, 0.000, 0.348).

The total energy comes out at -31.73 eV per atom. The calculation puts the mass density at 5.4 Mg/m³. The magnetic moment comes out at 0.00 μB per cell. As for the formation energy: 1.49 eV/f.u. The calculation puts the volume at 32.04 A^3/atom.

***

No. 9
Below is a crystal of LaZn2Os relaxed with PBEsol, with properties calculated at the meta-GGA SCAN level.

It has space group Cmmm (No. 65), with a = 5.475 Å, b = 7.849 Å, c = 3.331 Å, α = 90.00°, β = 90.00° and γ = 90.00°. The distinct sites, in fractional coordinates, are La at (0.000, 0.000, 0.000), Zn at (0.250, 0.250, 0.500) and Os at (0.000, 0.500, 0.000).

The total energy comes out at -35.16 eV per atom. The calculation puts the mass density at 10.7 Mg/m³. The magnetic moment comes out at 0.00 μB per cell. As for the formation energy: 1.38 eV/f.u. The calculation puts the volume at 17.89 A^3/atom.

***

No. 10
Below is a crystal of YZrHg2 relaxed with PBEsol, with properties calculated at the meta-GGA SCAN level.

It has space group Pmmm (No. 47), with a = 3.358 Å, b = 3.961 Å, c = 6.739 Å, α = 90.00°, β = 90.00° and γ = 90.00°. The distinct sites, in fractional coordinates, are Y at (0.000, 0.000, 0.000), Zr at (0.000, 0.000, 0.500) and Hg at (0.500, 0.500, 0.267).

The total energy comes out at -49.24 eV per atom. The calculation puts the mass density at 10.8 Mg/m³. The magnetic moment comes out at 0.84 μB per cell. As for the formation energy: -2.07 eV/f.u. The calculation puts the volume at 22.41 A^3/atom.